## Sm3Sc2Sn4 (PBE)

Data for a relaxed structure of Sm3Sc2Sn4.

Output
total DFT energy (no corrections): -5.398 eV/atom
E_form: -0.639 eV per atom

Unit cell a=4.511 b=6.872 c=9.518 alpha=113.61 beta=90.00 gamma=109.16
Positions (direct):
Sn1 0.929 0.857 0.595
Sc1 0.314 0.629 0.644
Sc2 0.686 0.371 0.356
Sm1 0.624 0.248 0.695
Sm2 0.000 0.000 0.000
Sm3 0.376 0.752 0.305
Sn2 0.071 0.143 0.405
Sn3 0.296 0.592 0.934
Sn4 0.704 0.408 0.066